Entry 1:
TbPmThZn after structural relaxation, computed with PBE.

Structure (CIF):
```
data_TbPmThZn
_cell_length_a 3.601
_cell_length_b 3.601
_cell_length_c 8.651
_cell_angle_alpha 90.00
_cell_angle_beta 90.00
_cell_angle_gamma 90.00
_space_group_name_H-M_alt 'P 1'
_space_group_IT_number 1
_space_group_name_Hall 'P 1'
loop_
_atom_site_label
_atom_site_fract_x
_atom_site_fract_y
_atom_site_fract_z
Th1 0.500 0.500 0.816
Pm1 0.000 0.000 0.106
Zn1 0.500 0.500 0.328
Tb1 0.000 0.000 0.534
```

Output
ΔE_f: -14.7 kJ per mole of atoms
excess energy over the best structure of this formula in the dataset: 0.000 eV per atom

Entry 2:
PmHo3Te3 after structural relaxation, computed with PBE.

Structure (CIF):
```
data_PmHo3Te3
_cell_length_a 7.175
_cell_length_b 7.175
_cell_length_c 11.186
_cell_angle_alpha 71.29
_cell_angle_beta 71.29
_cell_angle_gamma 60.00
_space_group_name_H-M_alt 'P 1'
_space_group_IT_number 1
_space_group_name_Hall 'P 1'
loop_
_atom_site_label
_atom_site_fract_x
_atom_site_fract_y
_atom_site_fract_z
Ho1 0.531 0.222 0.366
Ho2 0.469 0.778 0.634
Ho3 0.222 0.880 0.366
Ho4 0.880 0.531 0.366
Ho5 0.120 0.469 0.634
Ho6 0.778 0.120 0.634
Te1 0.744 0.376 0.817
Te2 0.624 0.938 0.183
Te3 0.938 0.256 0.183
Te4 0.376 0.062 0.817
Te5 0.256 0.624 0.183
Te6 0.062 0.744 0.817
Pm1 0.667 0.667 0.999
Pm2 0.333 0.333 0.001
```

Output
formation energy (no corrections): -942.7 meV per atom

Entry 3:
LaTaOs2 after structural relaxation, computed with PBE.

Structure (CIF):
```
data_LaTaOs2
_cell_length_a 3.205
_cell_length_b 3.195
_cell_length_c 8.113
_cell_angle_alpha 66.77
_cell_angle_beta 90.00
_cell_angle_gamma 90.00
_space_group_name_H-M_alt 'P 1'
_space_group_IT_number 1
_space_group_name_Hall 'P 1'
loop_
_atom_site_label
_atom_site_fract_x
_atom_site_fract_y
_atom_site_fract_z
Os1 0.000 0.954 0.047
Os2 0.000 0.546 0.453
Ta1 0.500 0.250 0.250
La1 0.500 0.750 0.750
```

Output
ΔE_f: -9.9 kJ per mole of atoms

Entry 4:
CoRu after structural relaxation, computed with PBE.

Structure (CIF):
```
data_CoRu
_cell_length_a 3.442
_cell_length_b 3.442
_cell_length_c 3.442
_cell_angle_alpha 60.00
_cell_angle_beta 60.00
_cell_angle_gamma 60.00
_space_group_name_H-M_alt 'P 1'
_space_group_IT_number 1
_space_group_name_Hall 'P 1'
loop_
_atom_site_label
_atom_site_fract_x
_atom_site_fract_y
_atom_site_fract_z
Co1 0.000 0.000 0.000
Ru1 0.500 0.500 0.500
```

Output
ΔE_f: 96.7 kJ per mole of atoms

Entry 5:
Ba2Na3SbO6 after structural relaxation, computed with PBE.

Structure (CIF):
```
data_Ba2Na3SbO6
_cell_length_a 6.574
_cell_length_b 6.574
_cell_length_c 5.947
_cell_angle_alpha 99.08
_cell_angle_beta 99.08
_cell_angle_gamma 122.83
_space_group_name_H-M_alt 'P 1'
_space_group_IT_number 1
_space_group_name_Hall 'P 1'
loop_
_atom_site_label
_atom_site_fract_x
_atom_site_fract_y
_atom_site_fract_z
O1 0.679 0.932 0.781
O2 0.932 0.679 0.781
O3 0.068 0.321 0.219
O4 0.321 0.068 0.219
O5 0.214 0.214 0.801
O6 0.786 0.786 0.199
Ba1 0.330 0.670 0.000
Ba2 0.670 0.330 0.000
Na1 0.123 0.877 0.500
Na2 0.500 0.500 0.500
Na3 0.877 0.123 0.500
Sb1 0.000 0.000 0.000
```

Output
formation energy (no corrections): -1895.4 meV per atom

Entry 6:
Ba4LiSb after structural relaxation, computed with PBE.

Structure (CIF):
```
data_Ba4LiSb
_cell_length_a 7.334
_cell_length_b 7.334
_cell_length_c 7.334
_cell_angle_alpha 60.00
_cell_angle_beta 60.00
_cell_angle_gamma 60.00
_space_group_name_H-M_alt 'P 1'
_space_group_IT_number 1
_space_group_name_Hall 'P 1'
loop_
_atom_site_label
_atom_site_fract_x
_atom_site_fract_y
_atom_site_fract_z
Ba1 0.880 0.373 0.373
Ba2 0.373 0.373 0.880
Ba3 0.373 0.373 0.373
Ba4 0.373 0.880 0.373
Sb1 0.000 0.000 0.000
Li1 0.750 0.750 0.750
```

Output
formation energy (no corrections): 201.4 meV per atom

Entry 7:
Ba3Te5O12 after structural relaxation, computed with PBE.

Structure (CIF):
```
data_Ba3Te5O12
_cell_length_a 12.430
_cell_length_b 12.430
_cell_length_c 12.430
_cell_angle_alpha 109.47
_cell_angle_beta 109.47
_cell_angle_gamma 109.47
_space_group_name_H-M_alt 'P 1'
_space_group_IT_number 1
_space_group_name_Hall 'P 1'
loop_
_atom_site_label
_atom_site_fract_x
_atom_site_fract_y
_atom_site_fract_z
Te1 0.875 0.625 0.750
Te2 0.500 0.000 0.500
Te3 0.125 0.750 0.375
Te4 0.250 0.375 0.625
Te5 0.875 0.250 0.625
Te6 0.500 0.500 0.500
Te7 0.000 0.000 0.500
Te8 0.000 0.000 0.000
Te9 0.500 0.000 0.000
Te10 0.750 0.125 0.875
Te11 0.000 0.500 0.000
Te12 0.375 0.125 0.750
Te13 0.125 0.375 0.250
Te14 0.250 0.875 0.125
Te15 0.625 0.750 0.875
Te16 0.500 0.500 0.000
Te17 0.375 0.250 0.125
Te18 0.000 0.500 0.500
Te19 0.625 0.875 0.250
Te20 0.750 0.625 0.375
O1 0.598 0.983 0.676
O2 0.923 0.098 0.615
O3 0.577 0.692 0.676
O4 0.983 0.598 0.176
O5 0.192 0.676 0.077
O6 0.402 0.385 0.577
O7 0.017 0.615 0.692
O8 0.577 0.885 0.402
O9 0.324 0.517 0.402
O10 0.885 0.308 0.483
O11 0.192 0.517 0.615
O12 0.115 0.423 0.098
O13 0.098 0.923 0.115
O14 0.923 0.824 0.808
O15 0.308 0.885 0.983
O16 0.324 0.808 0.423
O17 0.983 0.385 0.308
O18 0.483 0.676 0.098
O19 0.176 0.077 0.692
O20 0.692 0.115 0.017
O21 0.308 0.423 0.824
O22 0.017 0.402 0.824
O23 0.676 0.483 0.598
O24 0.902 0.824 0.517
O25 0.423 0.308 0.324
O26 0.098 0.176 0.483
O27 0.808 0.324 0.923
O28 0.423 0.115 0.598
O29 0.598 0.615 0.423
O30 0.385 0.402 0.077
O31 0.902 0.077 0.885
O32 0.517 0.324 0.902
O33 0.517 0.192 0.115
O34 0.615 0.017 0.192
O35 0.615 0.598 0.923
O36 0.077 0.176 0.192
O37 0.692 0.577 0.176
O38 0.483 0.808 0.885
O39 0.385 0.983 0.808
O40 0.115 0.692 0.517
O41 0.808 0.483 0.385
O42 0.402 0.017 0.324
O43 0.676 0.192 0.577
O44 0.824 0.923 0.308
O45 0.176 0.098 0.983
O46 0.885 0.577 0.902
O47 0.077 0.902 0.385
O48 0.824 0.902 0.017
Ba1 0.375 0.750 0.625
Ba2 0.875 0.750 0.125
Ba3 0.125 0.250 0.875
Ba4 0.875 0.125 0.250
Ba5 0.625 0.250 0.375
Ba6 0.625 0.375 0.750
Ba7 0.125 0.875 0.750
Ba8 0.250 0.125 0.375
Ba9 0.750 0.375 0.125
Ba10 0.750 0.875 0.625
Ba11 0.375 0.625 0.250
Ba12 0.250 0.625 0.875
```

Output
formation energy (no corrections): -1329.0 meV per atom

Entry 8:
Zn2Pb after structural relaxation, computed with PBE.

Structure (CIF):
```
data_Zn2Pb
_cell_length_a 8.242
_cell_length_b 8.242
_cell_length_c 3.445
_cell_angle_alpha 90.00
_cell_angle_beta 90.00
_cell_angle_gamma 120.00
_space_group_name_H-M_alt 'P 1'
_space_group_IT_number 1
_space_group_name_Hall 'P 1'
loop_
_atom_site_label
_atom_site_fract_x
_atom_site_fract_y
_atom_site_fract_z
Pb1 0.333 0.667 0.000
Pb2 0.000 0.000 0.500
Pb3 0.667 0.333 0.000
Zn1 0.000 0.297 0.000
Zn2 0.000 0.629 0.500
Zn3 0.371 0.371 0.500
Zn4 0.629 0.000 0.500
Zn5 0.703 0.703 0.000
Zn6 0.297 0.000 0.000
```

Output
ΔE_f: 25.6 kJ per mole of atoms

Entry 9:
ErNp2PaP4 after structural relaxation, computed with PBE.

Structure (CIF):
```
data_ErNp2PaP4
_cell_length_a 3.975
_cell_length_b 6.878
_cell_length_c 6.855
_cell_angle_alpha 109.61
_cell_angle_beta 90.00
_cell_angle_gamma 90.00
_space_group_name_H-M_alt 'P 1'
_space_group_IT_number 1
_space_group_name_Hall 'P 1'
loop_
_atom_site_label
_atom_site_fract_x
_atom_site_fract_y
_atom_site_fract_z
Er1 0.000 0.000 0.000
P1 0.000 0.249 0.750
P2 0.500 0.251 0.251
P3 0.000 0.751 0.250
P4 0.500 0.749 0.749
Np1 0.000 0.500 0.500
Np2 0.500 0.000 0.500
Pa1 0.500 0.500 0.000
```

Output
ΔE_f: -112.7 kJ per mole of atoms

Entry 10:
K3La3GeO8 after structural relaxation, computed with PBE.

Structure (CIF):
```
data_K3La3GeO8
_cell_length_a 7.116
_cell_length_b 7.118
_cell_length_c 7.524
_cell_angle_alpha 118.24
_cell_angle_beta 90.00
_cell_angle_gamma 119.99
_space_group_name_H-M_alt 'P 1'
_space_group_IT_number 1
_space_group_name_Hall 'P 1'
loop_
_atom_site_label
_atom_site_fract_x
_atom_site_fract_y
_atom_site_fract_z
O1 0.803 0.607 0.330
O2 0.803 0.026 0.329
O3 0.730 0.460 0.690
O4 0.197 0.393 0.670
O5 0.777 0.974 0.671
O6 0.270 0.540 0.310
O7 0.223 0.026 0.329
O8 0.197 0.974 0.671
K1 0.000 0.000 0.000
K2 0.500 0.500 0.000
K3 0.000 0.500 0.000
La1 0.000 0.500 0.500
La2 0.500 0.500 0.500
La3 0.500 0.000 0.500
Ge1 0.000 0.000 0.500
```

Output
formation energy (no corrections): -2390.9 meV per atom

Entry 11:
BeSbPt4 after structural relaxation, computed with PBE.

Structure (CIF):
```
data_BeSbPt4
_cell_length_a 5.312
_cell_length_b 5.312
_cell_length_c 5.312
_cell_angle_alpha 60.00
_cell_angle_beta 60.00
_cell_angle_gamma 60.00
_space_group_name_H-M_alt 'P 1'
_space_group_IT_number 1
_space_group_name_Hall 'P 1'
loop_
_atom_site_label
_atom_site_fract_x
_atom_site_fract_y
_atom_site_fract_z
Pt1 0.625 0.625 0.124
Pt2 0.124 0.625 0.625
Pt3 0.625 0.625 0.625
Pt4 0.625 0.124 0.625
Sb1 0.250 0.250 0.250
Be1 0.000 0.000 0.000
```

Output
formation energy (no corrections): 168.3 meV per atom

Entry 12:
Pr3Dy4Er2 after structural relaxation, computed with PBE.

Structure (CIF):
```
data_Pr3Dy4Er2
_cell_length_a 6.208
_cell_length_b 6.215
_cell_length_c 12.945
_cell_angle_alpha 118.58
_cell_angle_beta 104.02
_cell_angle_gamma 119.92
_space_group_name_H-M_alt 'P 1'
_space_group_IT_number 1
_space_group_name_Hall 'P 1'
loop_
_atom_site_label
_atom_site_fract_x
_atom_site_fract_y
_atom_site_fract_z
Pr1 0.446 0.890 0.334
Pr2 0.000 0.000 0.000
Pr3 0.554 0.110 0.666
Dy1 0.110 0.220 0.333
Dy2 0.664 0.331 0.000
Dy3 0.890 0.780 0.667
Dy4 0.336 0.669 0.000
Er1 0.220 0.442 0.666
Er2 0.780 0.558 0.334
```

Output
ΔE_f: 1.9 kJ per mole of atoms
excess energy over the best structure of this formula in the dataset: 0.000 eV per atom